## BeCoCuGe (PBE)

Data for a relaxed structure of BeCoCuGe.

Calculated values
Density, g/cm3: 7.64
Raw total energy, eV/atom: -4.83
Crystal system: cubic

Unit cell a=5.6195 b=5.6195 c=5.6195 alpha=90.00 beta=90.00 gamma=90.00
Last column: nearest neighbours and their distance in Å.
Space group F-43m (No. 216)
Unique sites:
1 Be 0.0000 0.0000 0.0000  4 Cu 2.43, 4 Co 2.43
2 Co 0.2500 0.2500 0.7500  4 Ge 2.43, 4 Be 2.43
3 Cu 0.2500 0.2500 0.2500  4 Ge 2.43, 4 Be 2.43
4 Ge 0.0000 0.0000 0.5000  4 Co 2.43, 4 Cu 2.43